Entry 1:
The following is a meta-GGA SCAN calculation of a PBEsol-optimized structure of LiBe2Re, from the Alexandria database.

For the formation energy, the calculation gives 0.239 eV per atom. As for the density of states at the Fermi level: 0.334 states/eV per atom. The spin magnetization comes out at 0.0 μB per cell.

It has space group Pmm2 (No. 25), with a = 2.487 Å, b = 3.993 Å, c = 4.634 Å, α = 90.00°, β = 90.00° and γ = 90.00°. The inequivalent atoms are Li at (0.000, 0.000, 0.000), Be at (0.000, 0.000, 0.478), Be at (0.500, 0.500, 0.823) and Re at (0.500, 0.500, 0.325).

Entry 2:
The following is a meta-GGA SCAN calculation of a PBEsol-optimized structure of As2IrCl, from the Alexandria database.

For the formation energy from raw total energies, the calculation gives 820 meV per atom. As for the density of states at the Fermi level: 0.473 states/eV per atom. The spin magnetization comes out at 0.0 μB per cell.

It has space group P4/mmm (No. 123), with a = 3.751 Å, b = 3.751 Å, c = 4.718 Å, α = 90.00°, β = 90.00° and γ = 90.00°. The inequivalent atoms are As at (0.000, 0.500, 0.000), Ir at (0.000, 0.000, 0.500) and Cl at (0.500, 0.500, 0.500).

Energy for the records above, in order: -81.24; -116.18 eV per cell
Relative energy among the computed polymorphs for the records above, in order: 152; 1157 meV per atom